Entry 1:
Here is a relaxed structure of Pm3Sm2Pt4 from the Alexandria database. Energies are from PBE.

Computed properties:
Relative energy among the computed polymorphs   0.0 meV per atom
Symmetry   P2_1/c, No. 14

abc: 7.9814 7.7294 7.7357
angles: 90.00 90.00 108.23
Fractional positions:
Pm  0.5000  0.5000  0.0000
Pm  0.0000  0.5000  0.5000
Pt  0.6266  0.5071  0.6314
Pt  0.3685  0.0939  0.9718
Pm  0.7510  0.2403  0.8327
Sm  0.4064  0.7978  0.6810
Pt  0.6315  0.9061  0.0282
Pm  0.2490  0.7597  0.1673
Pt  0.1266  0.5071  0.8686
Pt  0.8685  0.0939  0.5282
Sm  0.9064  0.7978  0.8190
Sm  0.0936  0.2022  0.1810
Pm  0.2510  0.2403  0.6673
Sm  0.5936  0.2022  0.3190
Pt  0.3734  0.4929  0.3686
Pt  0.8734  0.4929  0.1314
Pm  0.7490  0.7597  0.3327
Pt  0.1315  0.9061  0.4718

=====

Entry 2:
Here is a relaxed structure of Pm3Sm2Pt2 from the Alexandria database. Energies are from PBE.

Computed properties:
Symmetry   C2/m, No. 12
Total energy   -5.82 eV/atom

abc: 3.8664 6.5418 9.2300
angles: 114.17 90.00 107.19
Fractional positions:
Pm  0.5000  0.0000  0.0000
Pt  0.8270  0.6541  0.7635
Pm  0.6147  0.2294  0.4333
Pt  0.1730  0.3459  0.2365
Pm  0.3853  0.7706  0.5667
Sm  0.1645  0.3291  0.8123
Sm  0.8355  0.6709  0.1877